Model i:
A relaxed structure of Dy3CdAg. Source: Alexandria via LeMat-Bulk, functional PBE. Values from VASP.

Structure (Quantum ESPRESSO input):
```
&SYSTEM
  ibrav = 0, nat = 20, ntyp = 3
/
ATOMIC_SPECIES
Dy 162.50 Dy.upf
Cd 112.41 Cd.upf
Ag 107.87 Ag.upf
CELL_PARAMETERS angstrom
5.850 -3.133 0.000
5.850 3.133 0.000
-5.386 0.000 14.812
ATOMIC_POSITIONS angstrom
Dy 2.768 1.922 3.141
Dy -0.283 1.172 8.888
Dy 0.645 2.280 13.320
Dy 2.976 2.280 8.898
Dy 6.238 1.922 4.265
Dy 2.410 -1.172 1.482
Dy 3.904 1.172 13.329
Dy 0.075 -1.922 10.546
Dy 3.338 -2.280 5.914
Dy 5.669 -2.280 1.492
Dy 6.597 -1.172 5.924
Dy 3.545 -1.922 11.671
Cd 5.320 0.796 1.312
Cd 3.687 0.796 6.094
Cd 2.627 -0.796 8.718
Cd 0.994 -0.796 13.500
Ag 2.925 1.566 0.000
Ag 1.810 0.760 11.109
Ag 0.232 -1.566 7.406
Ag 4.503 -0.760 3.703
```

Model ii:
A relaxed structure of Dy3CdAg. Source: Alexandria via LeMat-Bulk, functional PBE. Values from VASP.

Structure (Quantum ESPRESSO input):
```
&SYSTEM
  ibrav = 0, nat = 10, ntyp = 3
/
ATOMIC_SPECIES
Dy 162.50 Dy.upf
Cd 112.41 Cd.upf
Ag 107.87 Ag.upf
CELL_PARAMETERS angstrom
2.598 -9.848 0.000
2.598 9.848 0.000
0.000 0.000 5.194
ATOMIC_POSITIONS angstrom
Dy 2.598 8.648 3.895
Dy 2.598 4.938 3.895
Dy 2.598 1.250 3.895
Dy 2.598 -1.250 1.298
Dy 2.598 -4.938 1.298
Dy 2.598 -8.648 1.298
Cd 2.598 6.804 1.298
Cd 2.598 -6.804 3.895
Ag 2.598 3.131 1.298
Ag 2.598 -3.131 3.895
```

Relative calculated energies, zero for the most stable structure, unit eV/atom: model i 0.151; model ii 0.000.